Record 1
DFT (PBE) results for a relaxed ErMnSi3Ni crystal.

Formation energy from raw total energies (kJ/mol of atoms): -27.2

Lattice parameters (Å, degrees): 6.7490 6.7490 5.5892 90.00 90.00 127.43
Fractional coordinates of all 12 atoms:
Er: 0.2260 0.7740 0.7500
Er: 0.7740 0.2260 0.2500
Mn: 0.0339 0.9661 0.2500
Mn: 0.9661 0.0339 0.7500
Si: 0.2117 0.7883 0.2500
Si: 0.2961 0.2961 0.0000
Si: 0.2961 0.2961 0.5000
Si: 0.7039 0.7039 0.0000
Si: 0.7039 0.7039 0.5000
Si: 0.7883 0.2117 0.7500
Ni: 0.3867 0.6133 0.2500
Ni: 0.6133 0.3867 0.7500

Record 2
DFT (PBE) results for a relaxed PmPu2PaAs4 crystal.

Energy relative to the elements (meV per atom): -1177

Lattice parameters (Å, degrees): 7.1692 4.1637 7.2103 90.00 109.54 90.00
Fractional coordinates of all 8 atoms:
Pm: 0.0000 0.0000 0.0000
Pu: 0.5000 0.0000 0.5000
Pu: 0.5000 0.5000 0.0000
Pa: 0.0000 0.5000 0.5000
As: 0.2478 0.0000 0.7434
As: 0.2527 0.5000 0.2585
As: 0.7473 0.5000 0.7415
As: 0.7522 0.0000 0.2566

Record 3
DFT (PBE) results for a relaxed HoTmHgPt crystal.

Relative energy among the computed polymorphs (eV per atom): 0.000
Energy relative to the elements (meV per atom): -887

Lattice parameters (Å, degrees): 3.5397 3.5397 7.3218 90.00 90.00 90.00
Fractional coordinates of all 4 atoms:
Ho: 0.0000 0.0000 0.0000
Tm: 0.0000 0.0000 0.5500
Hg: 0.5000 0.5000 0.2784
Pt: 0.5000 0.5000 0.7703

Record 4
DFT (PBE) results for a relaxed K2RbHoF6 crystal.

Formation energy from raw total energies (kJ/mol of atoms): -323.2

Lattice parameters (Å, degrees): 6.4645 6.7823 11.1708 90.00 123.91 90.00
Fractional coordinates of all 20 atoms:
K: 0.2214 0.0456 0.2314
K: 0.2214 0.4544 0.7314
K: 0.7786 0.5456 0.2686
K: 0.7786 0.9544 0.7686
Rb: 0.0000 0.0000 0.5000
Rb: 0.0000 0.5000 0.0000
Ho: 0.5000 0.0000 0.0000
Ho: 0.5000 0.5000 0.5000
F: 0.1777 0.1596 0.9627
F: 0.1777 0.3404 0.4627
F: 0.2571 0.7398 0.9096
F: 0.2571 0.7602 0.4096
F: 0.4063 0.0860 0.7866
F: 0.4063 0.4140 0.2866
F: 0.5937 0.5860 0.7134
F: 0.5937 0.9140 0.2134
F: 0.7429 0.2398 0.5904
F: 0.7429 0.2602 0.0904
F: 0.8223 0.6596 0.5373
F: 0.8223 0.8404 0.0373

Record 5
DFT (PBE) results for a relaxed Mn2Au crystal.

Energy relative to the elements (meV per atom): 367

Lattice parameters (Å, degrees): 2.6821 2.6821 6.5023 90.00 90.00 120.00
Fractional coordinates of all 3 atoms:
Mn: 0.3333 0.6667 0.1329
Mn: 0.6667 0.3333 0.8671
Au: 0.0000 0.0000 0.5000

Record 6
DFT (PBE) results for a relaxed TbMgGa5Pd2 crystal.

Energy relative to the elements (meV per atom): -259

Lattice parameters (Å, degrees): 4.8660 4.8660 7.6127 90.00 90.00 90.00
Fractional coordinates of all 9 atoms:
Tb: 0.0000 0.0000 0.0000
Mg: 0.0000 0.0000 0.5000
Ga: 0.0000 0.5000 0.2557
Ga: 0.0000 0.5000 0.7443
Ga: 0.5000 0.0000 0.2557
Ga: 0.5000 0.0000 0.7443
Ga: 0.5000 0.5000 0.0000
Pd: 0.5000 0.5000 0.3275
Pd: 0.5000 0.5000 0.6725

Record 7
DFT (PBE) results for a relaxed La2ZnGa crystal.

Relative energy among the computed polymorphs (eV per atom): 0.398
Energy relative to the elements (meV per atom): -55

Lattice parameters (Å, degrees): 6.8283 6.8283 6.8283 106.55 106.55 115.48
Fractional coordinates of all 8 atoms:
La: 0.1220 0.6250 0.9970
La: 0.3750 0.3720 0.4970
La: 0.6280 0.1250 0.0030
La: 0.8750 0.8780 0.5030
Zn: 0.0000 0.0000 0.0000
Zn: 0.7500 0.2500 0.5000
Ga: 0.2500 0.7500 0.5000
Ga: 0.5000 0.5000 0.0000

Record 8
DFT (PBE) results for a relaxed CsUHg2O6 crystal.

Formation energy from raw total energies (kJ/mol of atoms): -148.4

Lattice parameters (Å, degrees): 6.3653 6.3671 6.8461 112.84 117.43 94.94
Fractional coordinates of all 10 atoms:
Cs: 0.0000 0.0000 0.0000
U: 0.5000 0.5000 0.0000
Hg: 0.2043 0.7048 0.5002
Hg: 0.7957 0.2952 0.4998
O: 0.1018 0.2819 0.7629
O: 0.4245 0.7555 0.1811
O: 0.4807 0.6618 0.7633
O: 0.5193 0.3382 0.2367
O: 0.5755 0.2445 0.8189
O: 0.8982 0.7181 0.2371

Record 9
DFT (PBE) results for a relaxed PmF3 crystal.

Formation energy from raw total energies (kJ/mol of atoms): -385.8

Lattice parameters (Å, degrees): 4.4234 4.4234 4.4234 131.20 87.23 112.94
Fractional coordinates of all 4 atoms:
Pm: 0.0000 0.0000 0.0000
F: 0.0016 0.7041 0.2975
F: 0.4067 0.7041 0.7025
F: 0.7234 0.2234 0.5000

Record 10
DFT (PBE) results for a relaxed KZrSe2N crystal.

Relative energy among the computed polymorphs (eV per atom): 1.974
Formation energy from raw total energies (kJ/mol of atoms): 131.4

Lattice parameters (Å, degrees): 5.4272 5.4272 4.1397 90.00 90.00 90.00
Fractional coordinates of all 5 atoms:
K: 0.0000 0.0000 0.0000
Zr: 0.5000 0.5000 0.5000
Se: 0.0000 0.5000 0.0000
Se: 0.5000 0.0000 0.0000
N: 0.0000 0.0000 0.5000

Record 11
DFT (PBE) results for a relaxed OsSeSN2 crystal.

Relative energy among the computed polymorphs (eV per atom): 0.063
Formation energy from raw total energies (kJ/mol of atoms): 78.0

Lattice parameters (Å, degrees): 3.7622 3.7622 5.4322 90.00 90.00 90.00
Fractional coordinates of all 5 atoms:
Os: 0.0000 0.0000 0.0000
Se: 0.5000 0.5000 0.5000
S: 0.0000 0.0000 0.5000
N: 0.0000 0.5000 0.0000
N: 0.5000 0.0000 0.0000

Record 12
DFT (PBE) results for a relaxed KBaSN2 crystal.

Relative energy among the computed polymorphs (eV per atom): 0.000
Formation energy from raw total energies (kJ/mol of atoms): 81.0

Lattice parameters (Å, degrees): 5.3487 5.3487 5.9737 90.00 90.00 90.00
Fractional coordinates of all 5 atoms:
K: 0.0000 0.0000 0.0000
Ba: 0.5000 0.5000 0.5000
S: 0.5000 0.5000 0.0000
N: 0.0000 0.5000 0.5000
N: 0.5000 0.0000 0.5000

Record 13
DFT (PBE) results for a relaxed Ba2Si2Hg crystal.

Relative energy among the computed polymorphs (eV per atom): 0.000
Formation energy from raw total energies (kJ/mol of atoms): -39.5

Lattice parameters (Å, degrees): 9.0020 9.0020 4.5723 90.00 90.00 154.34
Fractional coordinates of all 5 atoms:
Ba: 0.1319 0.8681 0.0000
Ba: 0.8681 0.1319 0.0000
Si: 0.2873 0.7127 0.5000
Si: 0.7127 0.2873 0.5000
Hg: 0.5000 0.5000 0.5000

Record 14
DFT (PBE) results for a relaxed AcGa4IrPd2 crystal.

Energy relative to the elements (meV per atom): -597

Lattice parameters (Å, degrees): 9.6968 9.6968 9.6968 25.78 25.78 25.78
Fractional coordinates of all 8 atoms:
Ac: 0.0000 0.0000 0.0000
Ga: 0.1351 0.1351 0.1351
Ga: 0.4061 0.4061 0.4061
Ga: 0.5939 0.5939 0.5939
Ga: 0.8649 0.8649 0.8649
Ir: 0.5000 0.5000 0.5000
Pd: 0.2319 0.2319 0.2319
Pd: 0.7681 0.7681 0.7681

Record 15
DFT (PBE) results for a relaxed LaSiNi6B crystal.

Formation energy from raw total energies (kJ/mol of atoms): -13.6

Lattice parameters (Å, degrees): 7.1988 7.1988 7.1988 127.37 115.14 88.18
Fractional coordinates of all 18 atoms:
La: 0.4243 0.1743 0.2500
La: 0.5757 0.8257 0.7500
Si: 0.0000 0.0000 0.5000
Si: 0.0000 0.5000 0.0000
Ni: 0.1011 0.3984 0.2561
Ni: 0.1011 0.8450 0.7027
Ni: 0.1499 0.8999 0.2500
Ni: 0.2895 0.5395 0.7500
Ni: 0.3577 0.1550 0.7561
Ni: 0.3577 0.6016 0.2027
Ni: 0.6423 0.3984 0.7973
Ni: 0.6423 0.8450 0.2439
Ni: 0.7105 0.4605 0.2500
Ni: 0.8501 0.1001 0.7500
Ni: 0.8989 0.1550 0.2973
Ni: 0.8989 0.6016 0.7439
B: 0.0000 0.5000 0.5000
B: 0.5000 0.5000 0.0000

Record 16
DFT (PBE) results for a relaxed IrPd2Se2 crystal.

Formation energy from raw total energies (kJ/mol of atoms): 17.1

Lattice parameters (Å, degrees): 6.8133 6.8133 3.6994 90.00 90.00 90.00
Fractional coordinates of all 10 atoms:
Ir: 0.0000 0.0000 0.0000
Ir: 0.5000 0.5000 0.0000
Pd: 0.1471 0.3529 0.5000
Pd: 0.3529 0.8529 0.5000
Pd: 0.6471 0.1471 0.5000
Pd: 0.8529 0.6471 0.5000
Se: 0.1657 0.6657 0.0000
Se: 0.3343 0.1657 0.0000
Se: 0.6657 0.8343 0.0000
Se: 0.8343 0.3343 0.0000

Record 17
DFT (PBE) results for a relaxed LiSmZnGe crystal.

Energy relative to the elements (meV per atom): -440

Lattice parameters (Å, degrees): 4.8707 4.8707 4.8707 60.00 60.00 60.00
Fractional coordinates of all 4 atoms:
Li: 0.0000 0.0000 0.0000
Sm: 0.5000 0.5000 0.5000
Zn: 0.7500 0.7500 0.7500
Ge: 0.2500 0.2500 0.2500

Record 18
DFT (PBE) results for a relaxed SrMgSb2 crystal.

Formation energy from raw total energies (kJ/mol of atoms): -34.4

Lattice parameters (Å, degrees): 9.8757 9.8757 9.8757 145.52 145.52 49.57
Fractional coordinates of all 8 atoms:
Sr: 0.0000 0.0000 0.0000
Sr: 0.7500 0.2500 0.5000
Mg: 0.2500 0.7500 0.5000
Mg: 0.5000 0.5000 0.0000
Sb: 0.2644 0.6250 0.1394
Sb: 0.3750 0.5144 0.6394
Sb: 0.4856 0.1250 0.8606
Sb: 0.8750 0.7356 0.3606

Record 19
DFT (PBE) results for a relaxed Ni2AgAu crystal.

Energy relative to the elements (meV per atom): 199

Lattice parameters (Å, degrees): 4.5692 4.5692 2.8410 90.00 90.00 103.81
Fractional coordinates of all 4 atoms:
Ni: 0.0000 0.5000 0.0000
Ni: 0.5000 0.0000 0.0000
Ag: 0.0000 0.0000 0.5000
Au: 0.5000 0.5000 0.5000

Record 20
DFT (PBE) results for a relaxed MgI2NF crystal.

Relative energy among the computed polymorphs (eV per atom): 0.345
Formation energy from raw total energies (kJ/mol of atoms): 37.1

Lattice parameters (Å, degrees): 5.7501 5.7501 4.0200 90.00 90.00 90.00
Fractional coordinates of all 5 atoms:
Mg: 0.0000 0.0000 0.0000
I: 0.0000 0.5000 0.0000
I: 0.5000 0.0000 0.0000
N: 0.0000 0.0000 0.5000
F: 0.5000 0.5000 0.5000

Record 21
DFT (PBE) results for a relaxed Y8BSe3S4 crystal.

Formation energy from raw total energies (kJ/mol of atoms): -168.6

Lattice parameters (Å, degrees): 7.9313 7.9313 7.9313 60.58 60.58 60.58
Fractional coordinates of all 16 atoms:
Y: 0.2233 0.7674 0.7674
Y: 0.2326 0.2326 0.7767
Y: 0.2326 0.7767 0.2326
Y: 0.2434 0.2434 0.2434
Y: 0.7566 0.7566 0.7566
Y: 0.7674 0.2233 0.7674
Y: 0.7674 0.7674 0.2233
Y: 0.7767 0.2326 0.2326
B: 0.0000 0.0000 0.0000
Se: 0.0000 0.5000 0.5000
Se: 0.5000 0.0000 0.5000
Se: 0.5000 0.5000 0.0000
S: 0.0000 0.0000 0.5000
S: 0.0000 0.5000 0.0000
S: 0.5000 0.0000 0.0000
S: 0.5000 0.5000 0.5000

Record 22
DFT (PBE) results for a relaxed CeHoMn4 crystal.

Energy relative to the elements (meV per atom): 106

Lattice parameters (Å, degrees): 5.1437 5.1437 5.1437 60.00 60.00 60.00
Fractional coordinates of all 6 atoms:
Ce: 0.0000 0.0000 0.0000
Ho: 0.7500 0.7500 0.7500
Mn: 0.3748 0.3748 0.3748
Mn: 0.3748 0.3748 0.8755
Mn: 0.3748 0.8755 0.3748
Mn: 0.8755 0.3748 0.3748

Record 23
DFT (PBE) results for a relaxed PrTm4Al5 crystal.

Energy relative to the elements (meV per atom): -378

Lattice parameters (Å, degrees): 3.5897 3.5897 17.9830 90.00 90.00 90.00
Fractional coordinates of all 10 atoms:
Pr: 0.0000 0.0000 0.0000
Tm: 0.0000 0.0000 0.2088
Tm: 0.0000 0.0000 0.4031
Tm: 0.0000 0.0000 0.5969
Tm: 0.0000 0.0000 0.7912
Al: 0.5000 0.5000 0.1131
Al: 0.5000 0.5000 0.3058
Al: 0.5000 0.5000 0.5000
Al: 0.5000 0.5000 0.6942
Al: 0.5000 0.5000 0.8869

Record 24
DFT (PBE) results for a relaxed Pr5ThCd4 crystal.

Energy relative to the elements (meV per atom): -237

Lattice parameters (Å, degrees): 3.8082 3.8082 20.7646 90.00 90.00 90.00
Fractional coordinates of all 10 atoms:
Pr: 0.0000 0.0000 0.0000
Pr: 0.0000 0.0000 0.1914
Pr: 0.0000 0.0000 0.3875
Pr: 0.0000 0.0000 0.6125
Pr: 0.0000 0.0000 0.8086
Th: 0.5000 0.5000 0.5000
Cd: 0.5000 0.5000 0.0949
Cd: 0.5000 0.5000 0.2892
Cd: 0.5000 0.5000 0.7108
Cd: 0.5000 0.5000 0.9051

The calculation returns the following D(E_F) values, one per record and in order: 6.7; 21.2; 2.6; 0.0; 4.2; 4.1; 15.0; 6.7; 0.0; 3.8; 3.4; 1.3; 3.8; 4.5; 7.6; 9.8; 1.4; 2.9; 6.5; 10.5; 6.3; 8.3; 4.4; 13.1 states/eV per cell.
The calculation returns the following E_tot values, one per record and in order: -6.245; -8.865; -4.735; -5.246; -6.838; -3.787; -3.594; -5.788; -6.590; -3.626; -6.290; -3.920; -3.408; -5.030; -5.887; -5.066; -3.571; -3.237; -4.223; -2.594; -7.082; -7.759; -4.516; -3.735 eV per atom.